# Co2SiGe

A geometry-optimized Co2SiGe structure (PBE, the Alexandria database).

Properties
raw total energy = -25.005 eV/f.u.
polymorph energy (0 for the lowest one) = 19.6 kJ/mol of atoms
E_form (uncorrected) = -72.6 kJ/mol of formula units
space-group type = No. 225

Lattice parameters (Å, degrees): 5.7096 5.7096 5.7096 90.00 90.00 90.00
Atoms (fractional coordinates):
Co  0.2500  0.2500  0.2500
Co  0.2500  0.2500  0.7500
Co  0.2500  0.7500  0.2500
Co  0.2500  0.7500  0.7500
Co  0.7500  0.2500  0.2500
Co  0.7500  0.2500  0.7500
Co  0.7500  0.7500  0.2500
Co  0.7500  0.7500  0.7500
Si  0.0000  0.0000  0.0000
Si  0.0000  0.5000  0.5000
Si  0.5000  0.0000  0.5000
Si  0.5000  0.5000  0.0000
Ge  0.0000  0.0000  0.5000
Ge  0.0000  0.5000  0.0000
Ge  0.5000  0.0000  0.0000
Ge  0.5000  0.5000  0.5000



# CoSi2TcGe

A geometry-optimized CoSi2TcGe structure (PBE, the Alexandria database).

Properties
raw total energy = -26.119 eV/f.u.
E_form (uncorrected) = 657.7 kJ/mol of formula units
space-group type = No. 123

Lattice parameters (Å, degrees): 4.6463 4.6463 4.2196 90.00 90.00 90.00
Atoms (fractional coordinates):
Co  0.0000  0.0000  0.0000
Si  0.0000  0.5000  0.5000
Si  0.5000  0.0000  0.5000
Tc  0.5000  0.5000  0.0000
Ge  0.0000  0.0000  0.5000



# Co2Si2TcGe2

A geometry-optimized Co2Si2TcGe2 structure (PBE, the Alexandria database).

Properties
raw total energy = -42.095 eV/f.u.
E_form (uncorrected) = 247.4 kJ/mol of formula units
space-group type = No. 139

Lattice parameters (Å, degrees): 4.5142 4.5142 11.7664 90.00 90.00 90.00
Atoms (fractional coordinates):
Co  0.0000  0.0000  0.0990
Co  0.0000  0.0000  0.9010
Co  0.5000  0.5000  0.4010
Co  0.5000  0.5000  0.5990
Si  0.0000  0.5000  0.0000
Si  0.0000  0.5000  0.5000
Si  0.5000  0.0000  0.0000
Si  0.5000  0.0000  0.5000
Tc  0.0000  0.0000  0.5000
Tc  0.5000  0.5000  0.0000
Ge  0.0000  0.0000  0.2906
Ge  0.0000  0.0000  0.7094
Ge  0.5000  0.5000  0.2094
Ge  0.5000  0.5000  0.7906